1.
Computed, not measured: a relaxed structure of Hf2NiRu at the PBE-GGA level of DFT.

a = 3.219 Å, b = 3.219 Å, c = 6.419 Å
α = 90.00°, β = 90.00°, γ = 90.00°
Fractional coordinates of all 4 atoms:
Ru 0.500 0.500 0.500
Hf 0.000 0.000 0.755
Hf 0.000 0.000 0.245
Ni 0.500 0.500 0.000

Computed properties:
Crystal system ... tetragonal
Formation energy from the elements ... -2.38 eV/f.u.


2.
Computed, not measured: a relaxed structure of Li2TbDy2Sb2 at the PBE-GGA level of DFT.

a = 4.743 Å, b = 4.743 Å, c = 9.195 Å
α = 75.06°, β = 75.06°, γ = 60.00°
Fractional coordinates of all 7 atoms:
Sb 0.735 0.735 0.794
Sb 0.265 0.265 0.206
Li 0.594 0.594 0.219
Li 0.406 0.406 0.781
Dy 0.870 0.870 0.390
Dy 0.130 0.130 0.610
Tb 0.000 0.000 0.000

Computed properties:
Crystal system ... trigonal
Formation energy without anion corrections ... -0.546 eV per atom